# 1
Below is crystalline BaAgSbI2 at its relaxed geometry, with properties calculated at the PBE-GGA level.

Summary:
formation energy without anion corrections	0.01	eV/atom
D(E_F)	0.6574	states/eV per atom
crystal system	tetragonal
E	-2.390	eV/atom
energy above the most stable polymorph in this dataset	481.5	meV per atom
total magnetic moment	2.01	μB/f.u.

```
data_BaAgSbI2
_symmetry_space_group_name_H-M 'P 4/m m m'
_symmetry_Int_Tables_number 123
_symmetry_space_group_name_Hall '-P 4 2'
_cell_length_a 6.6606
_cell_length_b 6.6606
_cell_length_c 7.0132
_cell_angle_alpha 90.00
_cell_angle_beta 90.00
_cell_angle_gamma 90.00
loop_
_atom_site_label
_atom_site_fract_x
_atom_site_fract_y
_atom_site_fract_z
Ba1 0.0000 0.0000 0.0000
Ag1 0.5000 0.5000 0.5000
Sb1 0.0000 0.0000 0.5000
I1 0.0000 0.5000 0.0000
```


# 2
Below is crystalline LiLaHoCd at its relaxed geometry, with properties calculated at the PBE-GGA level.

Summary:
D(E_F)	1.3829	states/eV per atom
crystal system	cubic
formation enthalpy at 0 K	-0.110	eV/atom
E	-3.193	eV/atom
total magnetic moment	0.04	μB/f.u.

```
data_LiLaHoCd
_symmetry_space_group_name_H-M 'F -4 3 m'
_symmetry_Int_Tables_number 216
_symmetry_space_group_name_Hall 'F -4 2 3'
_cell_length_a 7.6310
_cell_length_b 7.6310
_cell_length_c 7.6310
_cell_angle_alpha 90.00
_cell_angle_beta 90.00
_cell_angle_gamma 90.00
loop_
_atom_site_label
_atom_site_fract_x
_atom_site_fract_y
_atom_site_fract_z
Li1 0.0000 0.0000 0.0000
La1 0.2500 0.2500 0.2500
Ho1 0.2500 0.2500 0.7500
Cd1 0.0000 0.0000 0.5000
```


# 3
Below is crystalline InCuSe3 at its relaxed geometry, with properties calculated at the PBE-GGA level.

Summary:
formation energy without anion corrections	0.22	eV/atom
D(E_F)	1.2621	states/eV per atom
crystal system	cubic
E	-3.233	eV/atom
energy above the most stable polymorph in this dataset	0.0	meV per atom
total magnetic moment	0.00	μB/f.u.

```
data_InCuSe3
_symmetry_space_group_name_H-M 'P m -3 m'
_symmetry_Int_Tables_number 221
_symmetry_space_group_name_Hall '-P 4 2 3'
_cell_length_a 4.8835
_cell_length_b 4.8835
_cell_length_c 4.8835
_cell_angle_alpha 90.00
_cell_angle_beta 90.00
_cell_angle_gamma 90.00
loop_
_atom_site_label
_atom_site_fract_x
_atom_site_fract_y
_atom_site_fract_z
In1 0.0000 0.0000 0.0000
Cu1 0.5000 0.5000 0.5000
Se1 0.0000 0.5000 0.5000
```


# 4
Below is crystalline Rb2LiPt2 at its relaxed geometry, with properties calculated at the PBE-GGA level.

Summary:
D(E_F)	0.4260	states/eV per atom
crystal system	tetragonal
formation enthalpy at 0 K	0.071	eV/atom
E	-3.115	eV/atom
total magnetic moment	0.00	μB/f.u.

```
data_Rb2LiPt2
_symmetry_space_group_name_H-M 'P 4/m b m'
_symmetry_Int_Tables_number 127
_symmetry_space_group_name_Hall '-P 4 2ab'
_cell_length_a 6.9218
_cell_length_b 6.9218
_cell_length_c 5.4957
_cell_angle_alpha 90.00
_cell_angle_beta 90.00
_cell_angle_gamma 90.00
loop_
_atom_site_label
_atom_site_fract_x
_atom_site_fract_y
_atom_site_fract_z
Rb1 0.1750 0.3250 0.0000
Li1 0.0000 0.0000 0.5000
Pt1 0.1321 0.6321 0.5000
```